The following is a PBE calculation of crystalline K2TlBr at its relaxed geometry, from Alexandria via LeMat-Bulk.

The value obtained for the excess energy over the best structure of this formula in the dataset is 0.149 eV/atom. The symmetry is Cmmm, No. 65.

a b c (Å): 7.7825 9.4626 4.0703
angles (deg): 90.00 90.00 90.00
Sites, in units of the cell vectors:
K 0.2500 0.2500 0.0000
K 0.2500 0.7500 0.0000
K 0.7500 0.2500 0.0000
K 0.7500 0.7500 0.0000
Tl 0.0000 0.0000 0.5000
Tl 0.5000 0.5000 0.5000
Br 0.0000 0.5000 0.5000
Br 0.5000 0.0000 0.5000

The following is a PBE calculation of crystalline K2TlBr at its relaxed geometry, from Alexandria via LeMat-Bulk.

The value obtained for the excess energy over the best structure of this formula in the dataset is 0.025 eV/atom. The symmetry is C2/m, No. 12.

a b c (Å): 7.4760 4.2577 10.3435
angles (deg): 90.00 103.36 90.00
Sites, in units of the cell vectors:
K 0.2361 0.0000 0.2109
K 0.2639 0.5000 0.7891
K 0.7361 0.5000 0.2109
K 0.7639 0.0000 0.7891
Tl 0.0000 0.0000 0.5000
Tl 0.5000 0.5000 0.5000
Br 0.0000 0.5000 0.0000
Br 0.5000 0.0000 0.0000

The following is a PBE calculation of crystalline K2TlBr at its relaxed geometry, from Alexandria via LeMat-Bulk.

The value obtained for the excess energy over the best structure of this formula in the dataset is 0.252 eV/atom. The symmetry is R3m, No. 160.

a b c (Å): 4.5758 4.5758 32.6457
angles (deg): 90.00 90.00 120.00
Sites, in units of the cell vectors:
K 0.0000 0.0000 0.0000
K 0.0000 0.0000 0.2114
K 0.3333 0.6667 0.6667
K 0.3333 0.6667 0.8780
K 0.6667 0.3333 0.3333
K 0.6667 0.3333 0.5447
Tl 0.0000 0.0000 0.7520
Tl 0.3333 0.6667 0.4186
Tl 0.6667 0.3333 0.0853
Br 0.0000 0.0000 0.4938
Br 0.3333 0.6667 0.1604
Br 0.6667 0.3333 0.8271

The following is a PBE calculation of crystalline KTlBr2 at its relaxed geometry, from Alexandria via LeMat-Bulk.

The value obtained for the excess energy over the best structure of this formula in the dataset is 0.062 eV/atom. The symmetry is Fm-3m, No. 225.

a b c (Å): 8.0574 8.0574 8.0574
angles (deg): 90.00 90.00 90.00
Sites, in units of the cell vectors:
K 0.0000 0.0000 0.0000
K 0.0000 0.5000 0.5000
K 0.5000 0.0000 0.5000
K 0.5000 0.5000 0.0000
Tl 0.0000 0.0000 0.5000
Tl 0.0000 0.5000 0.0000
Tl 0.5000 0.0000 0.0000
Tl 0.5000 0.5000 0.5000
Br 0.2500 0.2500 0.2500
Br 0.2500 0.2500 0.7500
Br 0.2500 0.7500 0.2500
Br 0.2500 0.7500 0.7500
Br 0.7500 0.2500 0.2500
Br 0.7500 0.2500 0.7500
Br 0.7500 0.7500 0.2500
Br 0.7500 0.7500 0.7500

The following is a PBE calculation of crystalline K2TlBr4 at its relaxed geometry, from Alexandria via LeMat-Bulk.

The value obtained for the excess energy over the best structure of this formula in the dataset is 0.054 eV/atom. The symmetry is P2_1/m, No. 11.

a b c (Å): 8.1497 7.9227 9.1575
angles (deg): 90.00 106.67 90.00
Sites, in units of the cell vectors:
K 0.2113 0.2500 0.0615
K 0.2170 0.2500 0.5472
K 0.7830 0.7500 0.4528
K 0.7887 0.7500 0.9385
Tl 0.2645 0.7500 0.8163
Tl 0.7355 0.2500 0.1837
Br 0.0060 0.0112 0.7511
Br 0.0060 0.4888 0.7511
Br 0.4648 0.7500 0.6113
Br 0.4832 0.7500 0.1199
Br 0.5168 0.2500 0.8801
Br 0.5352 0.2500 0.3887
Br 0.9940 0.5112 0.2489
Br 0.9940 0.9888 0.2489

The following is a PBE calculation of crystalline KTlBr2 at its relaxed geometry, from Alexandria via LeMat-Bulk.

The value obtained for the excess energy over the best structure of this formula in the dataset is 0.059 eV/atom. The symmetry is P4/mmm, No. 123.

a b c (Å): 5.6923 5.6923 4.0332
angles (deg): 90.00 90.00 90.00
Sites, in units of the cell vectors:
K 0.0000 0.0000 0.0000
Tl 0.5000 0.5000 0.0000
Br 0.0000 0.5000 0.5000
Br 0.5000 0.0000 0.5000

In the order shown, the computed total moment values come out to 0.000, 0.000, 0.000, 0.000, 0.001, 0.000 μB/atom.